(1)
# CaCd2SbH (PBE, relaxed)
data_CaCd2SbH
_symmetry_space_group_name_H-M 'P 1'
_symmetry_Int_Tables_number 1
_cell_length_a 4.702
_cell_length_b 4.702
_cell_length_c 4.738
_cell_angle_alpha 90.00
_cell_angle_beta 90.00
_cell_angle_gamma 90.00
loop_
_symmetry_equiv_pos_as_xyz
'x,y,z'
loop_
_atom_site_label
_atom_site_type_symbol
_atom_site_fract_x
_atom_site_fract_y
_atom_site_fract_z
Ca1 Ca 0.000 0.000 0.000
Cd1 Cd 0.000 0.500 0.500
Cd2 Cd 0.500 0.000 0.500
Sb1 Sb 0.500 0.500 0.000
H1 H 0.000 0.000 0.500
# ρ in kg/m3: 6145
# Symmetry: P4/mmm, No. 123
# E in eV per formula unit: -12.5

(2)
# MnBeRh2 (PBE, relaxed)
data_MnBeRh2
_symmetry_space_group_name_H-M 'P 1'
_symmetry_Int_Tables_number 1
_cell_length_a 4.486
_cell_length_b 4.486
_cell_length_c 4.538
_cell_angle_alpha 109.34
_cell_angle_beta 109.34
_cell_angle_gamma 36.45
loop_
_symmetry_equiv_pos_as_xyz
'x,y,z'
loop_
_atom_site_label
_atom_site_type_symbol
_atom_site_fract_x
_atom_site_fract_y
_atom_site_fract_z
Mn1 Mn 0.000 0.000 0.000
Be1 Be 0.500 0.500 0.500
Rh1 Rh 0.226 0.226 0.728
Rh2 Rh 0.774 0.774 0.272
# ρ in kg/m3: 8808
# Symmetry: C2/m, No. 12
# E in eV per formula unit: -28.4

(3)
# MgBeSb2 (PBE, relaxed)
data_MgBeSb2
_symmetry_space_group_name_H-M 'P 1'
_symmetry_Int_Tables_number 1
_cell_length_a 6.093
_cell_length_b 6.093
_cell_length_c 6.093
_cell_angle_alpha 141.48
_cell_angle_beta 141.48
_cell_angle_gamma 55.62
loop_
_symmetry_equiv_pos_as_xyz
'x,y,z'
loop_
_atom_site_label
_atom_site_type_symbol
_atom_site_fract_x
_atom_site_fract_y
_atom_site_fract_z
Mg1 Mg 0.000 0.000 0.000
Be1 Be 0.750 0.250 0.500
Sb1 Sb 0.250 0.750 0.500
Sb2 Sb 0.500 0.500 0.000
# ρ in kg/m3: 5278
# Symmetry: I-4m2, No. 119
# E in eV per formula unit: -12.3
# Formation energy without anion corrections in eV per atom: 0.320